The following is a DFT calculation (PBE) of a geometry-optimized Be2ZnAs structure.

Offset from the most stable computed form   123.6 meV/atom
Energy relative to the elements   0.397 eV/atom
Total magnetic moment   0.0 μB/f.u.

Cell and atoms, written as CIF:
```
data_Be2ZnAs
_space_group_name_H-M_alt 'P 4/m m m'
_space_group_IT_number 123
_space_group_name_Hall '-P 4 2'
_cell_length_a 3.265
_cell_length_b 3.265
_cell_length_c 4.948
_cell_angle_alpha 90.00
_cell_angle_beta 90.00
_cell_angle_gamma 90.00
loop_
_atom_site_label
_atom_site_type_symbol
_atom_site_fract_x
_atom_site_fract_y
_atom_site_fract_z
Be1 Be 0.000 0.000 0.228
Zn1 Zn 0.500 0.500 0.500
As1 As 0.500 0.500 0.000
```